1.
First-principles (PBE) data for an optimized crystal structure of HoPu2In9, as listed in Alexandria via LeMat-Bulk.

a = 4.6460 Å, b = 4.6461 Å, c = 13.9459 Å
α = 90.00°, β = 90.00°, γ = 90.00°
Last column: magnetic moment on the atom in μB.
Fractional positions:
In 0.0000 0.5000 0.1662  0.00
In 0.0000 0.5000 0.5000  0.01
In 0.5000 0.0000 0.5000  0.01
In 0.5000 0.5000 0.0000  0.00
In 0.5000 0.0000 0.8338  0.00
Pu 0.0000 0.0000 0.3317  5.35
In 0.5000 0.5000 0.3339  0.01
In 0.5000 0.0000 0.1662  0.00
Pu 0.0000 0.0000 0.6683  5.35
Ho 0.0000 0.0000 0.0000  0.00
In 0.5000 0.5000 0.6661  0.01
In 0.0000 0.5000 0.8338  0.00

Calculated values
- ρ (g/cm³) = 9.302
- total DFT energy (no corrections) (eV for the cell shown) = -61.32
- formation energy from the elements (eV per atom) = -0.286
- DOS(E_F) (states/eV/f.u.) = 25.73


2.
First-principles (PBE) data for an optimized crystal structure of Ho2PuIn, as listed in Alexandria via LeMat-Bulk.

a = 3.4046 Å, b = 3.4046 Å, c = 11.9284 Å
α = 81.80°, β = 81.80°, γ = 60.00°
Last column: magnetic moment on the atom in μB.
Fractional positions:
Pu 0.0000 0.0000 0.0000  5.79
Ho 0.0933 0.0933 0.7201  0.06
Ho 0.9067 0.9067 0.2799  0.06
In 0.5000 0.5000 0.5000  0.00

Calculated values
- ρ (g/cm³) = 9.683
- distance to the lowest polymorph of the same formula (kJ per mole of atoms) = 27.73
- total DFT energy (no corrections) (eV for the cell shown) = -25.65
- formation energy from the elements (eV per atom) = 0.144
- DOS(E_F) (states/eV/f.u.) = 11.10


3.
First-principles (PBE) data for an optimized crystal structure of Ho2PuIn, as listed in Alexandria via LeMat-Bulk.

a = 3.5037 Å, b = 3.5037 Å, c = 10.9659 Å
α = 80.81°, β = 80.81°, γ = 60.00°
Last column: magnetic moment on the atom in μB.
Fractional positions:
Ho 0.0800 0.0800 0.7599  0.20
In 0.6668 0.6668 0.9996  0.01
Ho 0.2534 0.2534 0.2396  0.11
Pu 0.4997 0.4997 0.5008  5.58

Calculated values
- ρ (g/cm³) = 9.981
- distance to the lowest polymorph of the same formula (kJ per mole of atoms) = 7.80
- total DFT energy (no corrections) (eV for the cell shown) = -26.48
- formation energy from the elements (eV per atom) = -0.063
- DOS(E_F) (states/eV/f.u.) = 10.18


4.
First-principles (PBE) data for an optimized crystal structure of HoPuIn2, as listed in Alexandria via LeMat-Bulk.

a = 4.5688 Å, b = 4.8047 Å, c = 4.8047 Å
α = 90.00°, β = 90.00°, γ = 90.00°
Last column: magnetic moment on the atom in μB.
Fractional positions:
In 0.0000 0.5000 0.0000  0.01
In 0.0000 0.0000 0.5000  0.01
Ho 0.5000 0.5000 0.5000  0.29
Pu 0.5000 0.0000 0.0000  5.51

Calculated values
- ρ (g/cm³) = 10.054
- total DFT energy (no corrections) (eV for the cell shown) = -25.44
- formation energy from the elements (eV per atom) = -0.264
- DOS(E_F) (states/eV/f.u.) = 11.49


5.
First-principles (PBE) data for an optimized crystal structure of Ho8PuIn2, as listed in Alexandria via LeMat-Bulk.

a = 6.4469 Å, b = 9.8534 Å, c = 9.8534 Å
α = 39.02°, β = 121.09°, γ = 121.09°
Last column: magnetic moment on the atom in μB.
Fractional positions:
Ho 0.7236 0.4140 0.4140  0.10
Ho 0.2764 0.5860 0.5860  0.10
In 0.1785 0.2497 0.2497  -0.02
Ho 0.2122 0.1622 0.6490  0.14
Pu 0.0000 0.0000 0.0000  5.71
Ho 0.5925 0.2088 0.2088  0.05
Ho 0.2122 0.6490 0.1622  0.14
Ho 0.7878 0.3510 0.8378  0.14
Ho 0.7878 0.8378 0.3510  0.14
Ho 0.4075 0.7912 0.7912  0.05
In 0.8215 0.7503 0.7503  -0.02

Calculated values
- ρ (g/cm³) = 9.032
- total DFT energy (no corrections) (eV for the cell shown) = -56.58
- formation energy from the elements (eV per atom) = -0.014
- DOS(E_F) (states/eV/f.u.) = 17.91


6.
First-principles (PBE) data for an optimized crystal structure of Ho5PuIn6, as listed in Alexandria via LeMat-Bulk.

a = 5.3250 Å, b = 7.4470 Å, c = 9.2108 Å
α = 113.84°, β = 106.80°, γ = 90.00°
Last column: magnetic moment on the atom in μB.
Fractional positions:
In 0.1694 0.9140 0.3389  -0.01
In 0.1695 0.4249 0.3389  -0.01
In 0.8306 0.0860 0.6611  -0.01
In 0.5000 0.7389 0.0000  0.00
Ho 0.6610 0.1610 0.3219  0.07
In 0.8305 0.5751 0.6611  -0.01
Ho 0.6685 0.6685 0.3370  -0.09
Ho 0.3315 0.3315 0.6630  -0.09
Pu 0.0000 0.0000 0.0000  5.53
In 0.5000 0.2611 0.0000  0.00
Ho 0.3390 0.8390 0.6781  0.07
Ho 0.0000 0.5000 0.0000  0.05

Calculated values
- ρ (g/cm³) = 9.208
- total DFT energy (no corrections) (eV for the cell shown) = -58.39
- formation energy from the elements (eV per atom) = -0.395
- DOS(E_F) (states/eV/f.u.) = 12.73


7.
First-principles (PBE) data for an optimized crystal structure of HoPu2In3, as listed in Alexandria via LeMat-Bulk.

a = 3.7462 Å, b = 3.7462 Å, c = 11.5052 Å
α = 90.00°, β = 90.00°, γ = 90.00°
Last column: magnetic moment on the atom in μB.
Fractional positions:
In 0.0000 0.0000 0.0000  -0.01
In 0.0000 0.0000 0.3404  -0.01
Pu 0.5000 0.5000 0.1692  5.49
In 0.0000 0.0000 0.6596  -0.01
Pu 0.5000 0.5000 0.8308  5.49
Ho 0.5000 0.5000 0.5000  -0.03

Calculated values
- ρ (g/cm³) = 10.257
- total DFT energy (no corrections) (eV for the cell shown) = -42.71
- formation energy from the elements (eV per atom) = -0.208
- DOS(E_F) (states/eV/f.u.) = 17.03


8.
First-principles (PBE) data for an optimized crystal structure of HoPuIn2, as listed in Alexandria via LeMat-Bulk.

a = 3.3323 Å, b = 3.3323 Å, c = 9.3608 Å
α = 90.00°, β = 90.00°, γ = 90.00°
Last column: magnetic moment on the atom in μB.
Fractional positions:
In 0.0000 0.0000 0.7453  0.03
In 0.0000 0.0000 0.2547  0.03
Pu 0.5000 0.5000 0.0000  -5.54
Ho 0.5000 0.5000 0.5000  0.20

Calculated values
- ρ (g/cm³) = 10.201
- total DFT energy (no corrections) (eV for the cell shown) = -25.60
- formation energy from the elements (eV per atom) = -0.302
- DOS(E_F) (states/eV/f.u.) = 8.41


9.
First-principles (PBE) data for an optimized crystal structure of Ho6PuIn5, as listed in Alexandria via LeMat-Bulk.

a = 5.2927 Å, b = 7.5942 Å, c = 8.4362 Å
α = 90.00°, β = 71.72°, γ = 90.00°
Last column: magnetic moment on the atom in μB.
Fractional positions:
Pu 0.0000 0.0000 0.0000  5.82
Ho 0.8316 0.7562 0.3368  0.26
Ho 0.5000 0.7353 0.0000  0.33
In 0.6706 0.5000 0.6587  0.02
In 0.3294 0.5000 0.3413  0.02
Ho 0.1684 0.7562 0.6632  0.26
In 0.6535 0.0000 0.6930  -0.03
Ho 0.1684 0.2438 0.6632  0.26
Ho 0.8316 0.2438 0.3368  0.26
In 0.3465 0.0000 0.3070  -0.03
In 0.0000 0.5000 0.0000  -0.03
Ho 0.5000 0.2647 0.0000  0.33

Calculated values
- ρ (g/cm³) = 9.323
- total DFT energy (no corrections) (eV for the cell shown) = -59.70
- formation energy from the elements (eV per atom) = -0.351
- DOS(E_F) (states/eV/f.u.) = 17.14


10.
First-principles (PBE) data for an optimized crystal structure of HoPu2In, as listed in Alexandria via LeMat-Bulk.

a = 5.3735 Å, b = 5.3735 Å, c = 5.3735 Å
α = 60.00°, β = 60.00°, γ = 60.00°
Last column: magnetic moment on the atom in μB.
Fractional positions:
Pu 0.2500 0.2500 0.2500  5.52
Ho 0.0000 0.0000 0.0000  0.52
In 0.5000 0.5000 0.5000  -0.05
Pu 0.7500 0.7500 0.7500  5.52

Calculated values
- ρ (g/cm³) = 11.620
- distance to the lowest polymorph of the same formula (kJ per mole of atoms) = 20.94
- total DFT energy (no corrections) (eV for the cell shown) = -35.59
- formation energy from the elements (eV per atom) = 0.097
- DOS(E_F) (states/eV/f.u.) = 13.65


11.
First-principles (PBE) data for an optimized crystal structure of Ho3PuIn12, as listed in Alexandria via LeMat-Bulk.

a = 4.6287 Å, b = 4.6287 Å, c = 18.5867 Å
α = 90.00°, β = 90.00°, γ = 90.00°
Last column: magnetic moment on the atom in μB.
Fractional positions:
In 0.0000 0.5000 0.6245  0.01
Pu 0.0000 0.0000 0.0000  -5.34
Ho 0.0000 0.0000 0.7480  0.00
In 0.5000 0.0000 0.3755  0.01
In 0.5000 0.5000 0.0000  -0.01
In 0.0000 0.5000 0.3755  0.01
Ho 0.0000 0.0000 0.2520  0.00
In 0.5000 0.5000 0.7503  0.01
In 0.5000 0.5000 0.2497  0.01
In 0.5000 0.5000 0.5000  0.00
In 0.5000 0.0000 0.1256  0.00
In 0.5000 0.0000 0.6245  0.01
In 0.5000 0.0000 0.8744  0.00
In 0.0000 0.5000 0.8744  0.00
Ho 0.0000 0.0000 0.5000  0.01
In 0.0000 0.5000 0.1256  0.00

Calculated values
- ρ (g/cm³) = 8.826
- total DFT energy (no corrections) (eV for the cell shown) = -66.58
- formation energy from the elements (eV per atom) = -0.353
- DOS(E_F) (states/eV/f.u.) = 18.49


12.
First-principles (PBE) data for an optimized crystal structure of Ho2PuIn9, as listed in Alexandria via LeMat-Bulk.

a = 4.6338 Å, b = 4.6338 Å, c = 13.9173 Å
α = 90.00°, β = 90.00°, γ = 90.00°
Last column: magnetic moment on the atom in μB.
Fractional positions:
In 0.5000 0.0000 0.5000  -0.01
In 0.0000 0.5000 0.5000  -0.01
Pu 0.0000 0.0000 0.0000  5.36
In 0.0000 0.5000 0.8329  0.00
In 0.5000 0.0000 0.8329  0.00
In 0.0000 0.5000 0.1671  0.00
In 0.5000 0.5000 0.0000  0.02
In 0.5000 0.5000 0.6675  0.00
Ho 0.0000 0.0000 0.6647  -0.01
In 0.5000 0.0000 0.1671  0.00
Ho 0.0000 0.0000 0.3353  -0.01
In 0.5000 0.5000 0.3325  0.00

Calculated values
- ρ (g/cm³) = 8.931
- total DFT energy (no corrections) (eV for the cell shown) = -52.27
- formation energy from the elements (eV per atom) = -0.344
- DOS(E_F) (states/eV/f.u.) = 15.12